(1)
MgCuBi3: relaxed, PBE.

Its space group is Pm-3m (221). As for the formation energy: 352 meV per atom.

Unit cell a=5.306 b=5.306 c=5.306 alpha=90.00 beta=90.00 gamma=90.00
Positions (direct):
Mg1 0.000 0.000 0.000
Cu1 0.500 0.500 0.500
Bi1 0.000 0.500 0.500
Bi2 0.500 0.000 0.500
Bi3 0.500 0.500 0.000



(2)
Mg2Cu2Bi: relaxed, PBE.

Its space group is I4/mmm (139). As for the formation energy: 93 meV per atom.

Unit cell a=6.484 b=6.484 c=6.484 alpha=142.82 beta=142.82 gamma=53.60
Positions (direct):
Mg1 0.250 0.750 0.500
Mg2 0.750 0.250 0.500
Cu1 0.103 0.103 0.000
Cu2 0.897 0.897 0.000
Bi1 0.500 0.500 0.000